34
Lattice="8.425 -6.277 0.000 8.425 6.277 0.000 -1.106 0.000 5.061" Properties=species:S:1:pos:R:3 comment="VP4O12, relaxed, DFT PBEsol" space_group="No. 12" magmom_total_mub_per_atom=0.059 final_energy_ev_per_atom=-7.73 formation_energy_uncorrected_kj_per_mol_atoms=-202 mass_density_g_cm3=2.3 pbc="T T T"
V 4.212 3.138 0.000
V 4.212 -3.138 0.000
P 6.166 3.472 4.188
P 4.580 1.508 2.701
P 9.578 3.472 0.873
P 4.580 -1.508 2.701
P 11.165 1.508 2.360
P 6.166 -3.472 4.188
P 11.165 -1.508 2.360
P 9.578 -3.472 0.873
O 6.517 4.701 3.498
O 6.019 3.442 0.049
O 3.404 2.004 3.508
O 4.449 1.593 1.203
O 9.227 4.701 1.562
O 5.913 2.199 3.187
O 8.425 2.771 0.000
O 4.887 0.000 3.091
O 9.725 3.442 5.011
O 3.404 -2.004 3.508
O 4.449 -1.593 1.203
O 9.831 2.199 1.874
O 5.913 -2.199 3.187
O 11.296 1.593 3.857
O 12.340 2.004 1.553
O 6.019 -3.442 0.049
O 10.858 0.000 1.970
O 8.425 -2.771 0.000
O 9.831 -2.199 1.874
O 6.517 -4.701 3.498
O 11.296 -1.593 3.857
O 12.340 -2.004 1.553
O 9.725 -3.442 5.011
O 9.227 -4.701 1.562